# Li2NiP2O7 (PBE with a Hubbard U, optimized geometry)
data_Li2NiP2O7
_chemical_formula_sum 'Li8 Ni4 P8 O28'
_space_group_name_H-M_alt 'C 1 2 1'
_space_group_IT_number 5
_cell_length_a 8.766
_cell_length_b 5.053
_cell_length_c 13.361
_cell_angle_alpha 90.00
_cell_angle_beta 102.55
_cell_angle_gamma 90.00
loop_
_space_group_symop_operation_xyz
'x,y,z'
'-x,y,-z'
'x+1/2,y+1/2,z'
'-x+1/2,y+1/2,-z'
loop_
_atom_site_label
_atom_site_fract_x
_atom_site_fract_y
_atom_site_fract_z
Li1 0.117 0.000 0.350
Li2 0.117 0.492 0.850
Ni1 0.250 0.496 0.250
P1 0.040 0.497 0.622
P2 0.040 0.994 0.122
O1 0.000 0.011 0.000
O2 0.000 0.479 0.500
O3 0.066 0.210 0.659
O4 0.067 0.282 0.158
O5 0.101 0.868 0.846
O6 0.102 0.624 0.347
O7 0.188 0.666 0.653
O8 0.189 0.826 0.153
# VASP energy: -6.4317 eV/atom
# density of states at the Fermi level: 0.00 states/eV/f.u.